Record 1
3
Lattice="-4.115 3.967 -2.601 -3.059 -0.370 -5.472 1.596 -3.078 5.236" Properties=species:S:1:pos:R:3 comment="SrTlW (PBE, optimized geometry)" e_form_ev_per_fu=3.0 dos_at_fermi_per_ev_fu=5.14 total_magnetization_mub_per_fu=0.3 spacegroup=I4mm de_polymorph_ev_per_fu=0.34 pbc="T T T"
Sr -0.033 0.017 -0.037
Tl -2.072 1.039 -2.332
W -5.069 2.542 -5.704

Record 2
8
Lattice="-4.496 0.301 -1.039 -1.364 -0.100 -4.417 -2.665 -9.084 -1.393" Properties=species:S:1:pos:R:3 comment="LiNdIn4Pd2 (PBE, optimized geometry)" e_form_ev_per_fu=-4.0 dos_at_fermi_per_ev_fu=3.48 total_magnetization_mub_per_fu=0.0 spacegroup=R-3m pbc="T T T"
In -4.482 -7.270 -3.293
Pd -2.165 -2.653 -1.692
Li -4.262 -4.441 -3.425
In -4.042 -1.612 -3.556
Nd 0.000 0.000 0.000
Pd -6.360 -6.229 -5.157
In -6.137 -3.357 -5.291
In -2.388 -5.525 -1.558

Record 3
12
Lattice="3.312 0.000 0.000 0.000 8.065 0.857 0.000 -0.755 5.793" Properties=species:S:1:pos:R:3 comment="NaCdInO3 (PBE, optimized geometry)" e_form_raw_ev_per_atom=-1.411 total_magnetization_mub_per_fu=0.0 spacegroup=P2_1/m pbc="T T T"
O 0.828 1.388 0.551
Cd 2.484 -0.126 1.502
In 2.484 1.997 5.578
Na 2.484 4.896 3.914
Na 0.828 2.414 2.737
O 0.828 3.357 4.970
O 2.484 0.876 3.669
Cd 0.828 7.436 5.149
In 0.828 5.313 1.072
O 0.828 6.433 2.982
O 2.484 3.953 1.681
O 2.484 5.921 6.099

> Number 3 is which compound?

NaCdInO3

> Number 1 is which compound?

SrTlW